# 1
Here is Y2CrMo at its PBEsol-relaxed geometry from the Alexandria database. Energies are from meta-GGA SCAN.

E_tot in eV/f.u.: -107.7

a b c (Å): 3.361 4.952 5.813
angles (deg): 115.21 106.80 90.00
Fractional positions:
Cr  0.543  0.543  0.086
Y  0.987  0.987  0.974
Mo  0.203  0.703  0.406
Y  0.767  0.267  0.535

---

# 2
Here is YCrMo2 at its PBEsol-relaxed geometry from the Alexandria database. Energies are from meta-GGA SCAN.

Distance to the lowest polymorph of the same formula in eV/atom: 0.199

a b c (Å): 3.161 5.019 5.104
angles (deg): 110.16 90.00 108.36
Fractional positions:
Cr  0.720  0.440  0.153
Mo  0.277  0.554  0.839
Mo  0.008  0.017  0.011
Y  0.495  0.990  0.497

---

# 3
Here is Zn3CrMo at its PBEsol-relaxed geometry from the Alexandria database. Energies are from meta-GGA SCAN.

E_tot in eV/f.u.: -87.3

a b c (Å): 4.428 4.428 4.428
angles (deg): 90.00 90.00 90.00
Last column: magnetic moment on the atom in μB.
Fractional positions:
Zn  0.000  0.000  0.500  -0.08
Zn  0.000  0.500  0.000  -0.08
Cr  0.000  0.000  0.000  -1.16
Zn  0.500  0.000  0.000  -0.08
Mo  0.500  0.500  0.500  3.08

---

# 4
Here is ZnCr2Mo at its PBEsol-relaxed geometry from the Alexandria database. Energies are from meta-GGA SCAN.

E_tot in eV/f.u.: -84.2

a b c (Å): 3.079 4.143 4.786
angles (deg): 115.65 108.76 90.00
Fractional positions:
Cr  0.238  0.238  0.475
Zn  0.000  0.500  0.000
Mo  0.500  0.000  0.000
Cr  0.762  0.762  0.525

---

# 5
Here is ZnCr2Mo at its PBEsol-relaxed geometry from the Alexandria database. Energies are from meta-GGA SCAN.

E_tot in eV/f.u.: -83.9

a b c (Å): 2.467 3.994 5.238
angles (deg): 90.00 90.00 90.00
Fractional positions:
Zn  0.500  0.500  0.500
Cr  0.000  0.000  0.733
Mo  0.500  0.500  0.000
Cr  0.000  0.000  0.267

---

# 6
Here is ZnCr2Mo at its PBEsol-relaxed geometry from the Alexandria database. Energies are from meta-GGA SCAN.

E_tot in eV/f.u.: -84.4

a b c (Å): 2.978 4.139 4.863
angles (deg): 115.19 107.83 90.00
Fractional positions:
Zn  0.258  0.758  0.515
Cr  0.738  0.238  0.477
Cr  0.020  0.020  0.040
Mo  0.484  0.484  0.968

---

# 7
Here is ZnCr4Mo at its PBEsol-relaxed geometry from the Alexandria database. Energies are from meta-GGA SCAN.

E_tot in eV/f.u.: -121.2

a b c (Å): 4.712 4.712 4.712
angles (deg): 60.00 60.00 60.00
Fractional positions:
Cr  0.374  0.374  0.878
Cr  0.878  0.374  0.374
Cr  0.374  0.374  0.374
Cr  0.374  0.878  0.374
Mo  0.750  0.750  0.750
Zn  0.000  0.000  0.000

---

# 8
Here is ZnCr2Mo at its PBEsol-relaxed geometry from the Alexandria database. Energies are from meta-GGA SCAN.

E_tot in eV/f.u.: -84.5

a b c (Å): 4.196 4.196 4.196
angles (deg): 60.00 60.00 60.00
Last column: magnetic moment on the atom in μB.
Fractional positions:
Cr  0.750  0.750  0.750  -1.26
Cr  0.000  0.000  0.000  2.78
Mo  0.500  0.500  0.500  0.39
Zn  0.250  0.250  0.250  0.01

---

# 9
Here is ZrCrMo at its PBEsol-relaxed geometry from the Alexandria database. Energies are from meta-GGA SCAN.

Distance to the lowest polymorph of the same formula in eV/atom: 0.299

a b c (Å): 2.907 4.323 4.323
angles (deg): 120.00 90.00 90.00
Fractional positions:
Zr  0.334  0.667  0.333
Cr  0.975  0.000  0.000
Mo  0.691  0.333  0.667

---

# 10
Here is Zr2CrMo at its PBEsol-relaxed geometry from the Alexandria database. Energies are from meta-GGA SCAN.

Distance to the lowest polymorph of the same formula in eV/atom: 0.057

a b c (Å): 2.901 4.331 5.438
angles (deg): 90.00 97.77 90.00
Fractional positions:
Mo  0.000  0.500  0.500
Zr  0.251  0.000  0.245
Cr  0.500  0.500  0.000
Zr  0.749  0.000  0.755

---

# 11
Here is Zr2CrMo at its PBEsol-relaxed geometry from the Alexandria database. Energies are from meta-GGA SCAN.

Distance to the lowest polymorph of the same formula in eV/atom: 0.000

a b c (Å): 3.258 4.328 4.805
angles (deg): 90.00 90.00 90.00
Last column: magnetic moment on the atom in μB.
Fractional positions:
Zr  0.000  0.000  0.000  0.14
Mo  0.000  0.500  0.500  0.53
Cr  0.500  0.500  0.000  -2.31
Zr  0.500  0.000  0.500  0.01

---

# 12
Here is ZrCrMo at its PBEsol-relaxed geometry from the Alexandria database. Energies are from meta-GGA SCAN.

Distance to the lowest polymorph of the same formula in eV/atom: 0.770

a b c (Å): 4.282 4.282 4.282
angles (deg): 60.00 60.00 60.00
Last column: magnetic moment on the atom in μB.
Fractional positions:
Cr  0.500  0.500  0.500  2.83
Mo  0.250  0.250  0.250  -1.06
Zr  0.000  0.000  0.000  -0.35